No. 1
Computed, not measured: a geometry-optimized BaAgP2Se8 structure at the PBE level of DFT.

It has space group P-3 (No. 147), with a = 6.0609 Å, b = 6.0609 Å, c = 9.7000 Å, α = 90.00°, β = 90.00° and γ = 120.00°. The distinct sites, in fractional coordinates, are Ba at (0.0000, 0.0000, 0.0000), Ag at (0.0000, 0.0000, 0.5000), P at (0.3333, 0.6667, 0.7600), Se at (0.0385, 0.6755, 0.3152) and Se at (0.3333, 0.6667, 0.9869).

The value obtained for the calculated total energy is -3.943 eV per atom. For the density of states at the Fermi level, the calculation gives 0.66 states/eV/atom.


No. 2
Computed, not measured: a geometry-optimized BaAgSnP2 structure at the PBE level of DFT.

It has space group C2/m (No. 12), with a = 13.2207 Å, b = 4.7652 Å, c = 9.0573 Å, α = 90.00°, β = 103.19° and γ = 90.00°. The distinct sites, in fractional coordinates, are Ba at (0.1713, 0.0000, 0.1972), Ag at (0.1451, 0.0000, 0.5644), Sn at (0.0503, 0.5000, 0.7140), P at (0.1067, 0.0000, 0.8315) and P at (0.1386, 0.5000, 0.4356).

The value obtained for the calculated total energy is -4.262 eV per atom. The value obtained for the formation energy is -0.343 eV/atom. For the density of states at the Fermi level, the calculation gives 0.19 states/eV/atom.


No. 3
Computed, not measured: a geometry-optimized BaSrAg2P2 structure at the PBE level of DFT.

It has space group P-3m1 (No. 164), with a = 4.4809 Å, b = 4.4809 Å, c = 8.6808 Å, α = 90.00°, β = 90.00° and γ = 120.00°. The distinct sites, in fractional coordinates, are Ba at (0.0000, 0.0000, 0.0000), Sr at (0.0000, 0.0000, 0.5000), Ag at (0.3333, 0.6667, 0.7344) and P at (0.3333, 0.6667, 0.2608).

The value obtained for the calculated total energy is -4.090 eV per atom. The value obtained for the formation energy is -0.735 eV/atom. For the density of states at the Fermi level, the calculation gives 0.04 states/eV/atom.


No. 4
Computed, not measured: a geometry-optimized Ba2TlAgP structure at the PBE level of DFT.

It has space group P4/mmm (No. 123), with a = 6.3003 Å, b = 6.3003 Å, c = 4.7313 Å, α = 90.00°, β = 90.00° and γ = 90.00°. The distinct sites, in fractional coordinates, are Ba at (0.0000, 0.5000, 0.0000), Tl at (0.0000, 0.0000, 0.5000), Ag at (0.5000, 0.5000, 0.5000) and P at (0.5000, 0.5000, 0.0000).

The value obtained for the calculated total energy is -3.292 eV per atom. The value obtained for the formation energy is -0.398 eV/atom. For the density of states at the Fermi level, the calculation gives 1.04 states/eV/atom.


No. 5
Computed, not measured: a geometry-optimized BaZn2AgP structure at the PBE level of DFT.

It has space group P4/mmm (No. 123), with a = 4.9443 Å, b = 4.9443 Å, c = 5.2384 Å, α = 90.00°, β = 90.00° and γ = 90.00°. The distinct sites, in fractional coordinates, are Ba at (0.0000, 0.0000, 0.0000), Zn at (0.0000, 0.5000, 0.5000), Ag at (0.5000, 0.5000, 0.5000) and P at (0.5000, 0.5000, 0.0000).

The value obtained for the calculated total energy is -2.604 eV per atom. The value obtained for the formation energy is -0.057 eV/atom. For the density of states at the Fermi level, the calculation gives 0.33 states/eV/atom.


No. 6
Computed, not measured: a geometry-optimized Ba2PaAg2S6 structure at the PBE level of DFT.

It has space group R-3m (No. 166, hexagonal axes), with a = 7.6150 Å, b = 7.6150 Å, c = 19.2062 Å, α = 90.00°, β = 90.00° and γ = 120.00°. The distinct sites, in fractional coordinates, are Ba at (0.0000, 0.0000, 0.2197), Pa at (0.0000, 0.0000, 0.0000), Ag at (0.0000, 0.0000, 0.4211) and S at (0.0308, 0.5154, 0.7553).

The value obtained for the calculated total energy is -5.135 eV per atom. For the density of states at the Fermi level, the calculation gives 0.86 states/eV/atom.


Repeat the fifth record exactly.
Computed, not measured: a geometry-optimized BaZn2AgP structure at the PBE level of DFT.

It has space group P4/mmm (No. 123), with a = 4.9443 Å, b = 4.9443 Å, c = 5.2384 Å, α = 90.00°, β = 90.00° and γ = 90.00°. The distinct sites, in fractional coordinates, are Ba at (0.0000, 0.0000, 0.0000), Zn at (0.0000, 0.5000, 0.5000), Ag at (0.5000, 0.5000, 0.5000) and P at (0.5000, 0.5000, 0.0000).

The value obtained for the calculated total energy is -2.604 eV per atom. The value obtained for the formation energy is -0.057 eV/atom. For the density of states at the Fermi level, the calculation gives 0.33 states/eV/atom.


The highest calculated total energy belongs to which entry?
BaZn2AgP